[1]
A relaxed structure of Tb2TlRuC. Source: Alexandria, functional PBE.

```
Tb2TlRuC
1.0
5.084 0.000 0.000
0.000 5.084 0.000
0.000 0.000 3.955
Tb Tl Ru C
2 1 1 1
direct
0.000 0.500 0.000
0.500 0.000 0.000
0.000 0.000 0.500
0.500 0.500 0.500
0.500 0.500 0.000
```

Summary:
space group	P4/mmm (123)
energy relative to the elements	-356	meV/atom
uncorrected energy	-6.38	eV per atom

***

[2]
A relaxed structure of KVSi. Source: Alexandria, functional PBE.

```
KVSi
1.0
2.839 0.000 0.000
0.000 3.933 0.000
-0.152 -0.040 12.406
K V Si
2 2 2
direct
0.122 0.254 0.333
0.878 0.746 0.667
0.135 0.251 0.057
0.865 0.749 0.943
0.390 0.249 0.866
0.610 0.751 0.134
```

Summary:
ΔE_f (raw)	19	meV/atom
relative energy among the computed polymorphs	0.0	meV/atom
space group	P-1 (2)
uncorrected energy	-5.19	eV per atom

***

[3]
A relaxed structure of ZnRu2Au. Source: Alexandria, functional PBE.

```
ZnRu2Au
1.0
-1.925 1.925 4.068
1.925 -1.925 4.068
1.925 1.925 -4.068
Zn Ru Au
1 2 1
direct
0.000 0.000 0.000
0.250 0.750 0.500
0.750 0.250 0.500
0.500 0.500 0.000
```

Summary:
space group	I4/mmm (139)
energy relative to the elements	311	meV/atom
uncorrected energy	-5.46	eV per atom

***

[4]
A relaxed structure of Bi3H5Rh12. Source: Alexandria, functional PBE.

```
Bi3H5Rh12
1.0
-6.487 6.487 6.487
6.487 -6.487 6.487
6.487 6.487 -6.487
Bi H Rh
12 20 48
direct
0.125 0.250 0.375
0.125 0.375 0.750
0.250 0.375 0.125
0.250 0.875 0.625
0.375 0.125 0.250
0.375 0.750 0.125
0.625 0.250 0.875
0.625 0.875 0.750
0.750 0.125 0.375
0.750 0.625 0.875
0.875 0.625 0.250
0.875 0.750 0.625
0.000 0.000 0.000
0.000 0.000 0.500
0.000 0.500 0.000
0.000 0.500 0.500
0.125 0.750 0.875
0.125 0.875 0.250
0.250 0.125 0.875
0.250 0.625 0.375
0.375 0.250 0.625
0.375 0.625 0.750
0.500 0.000 0.000
0.500 0.000 0.500
0.500 0.500 0.000
0.500 0.500 0.500
0.625 0.375 0.250
0.625 0.750 0.375
0.750 0.375 0.625
0.750 0.875 0.125
0.875 0.125 0.750
0.875 0.250 0.125
0.004 0.691 0.096
0.004 0.813 0.908
0.092 0.596 0.905
0.092 0.996 0.187
0.095 0.687 0.691
0.095 0.908 0.404
0.096 0.004 0.691
0.096 0.592 0.405
0.187 0.092 0.996
0.187 0.595 0.191
0.191 0.187 0.595
0.191 0.504 0.596
0.309 0.904 0.996
0.309 0.905 0.313
0.313 0.309 0.905
0.313 0.504 0.408
0.404 0.095 0.908
0.404 0.809 0.496
0.405 0.096 0.592
0.405 0.809 0.813
0.408 0.313 0.504
0.408 0.595 0.904
0.496 0.404 0.809
0.496 0.592 0.687
0.504 0.408 0.313
0.504 0.596 0.191
0.592 0.405 0.096
0.592 0.687 0.496
0.595 0.191 0.187
0.595 0.904 0.408
0.596 0.191 0.504
0.596 0.905 0.092
0.687 0.496 0.592
0.687 0.691 0.095
0.691 0.095 0.687
0.691 0.096 0.004
0.809 0.496 0.404
0.809 0.813 0.405
0.813 0.405 0.809
0.813 0.908 0.004
0.904 0.408 0.595
0.904 0.996 0.309
0.905 0.092 0.596
0.905 0.313 0.309
0.908 0.004 0.813
0.908 0.404 0.095
0.996 0.187 0.092
0.996 0.309 0.904
```

Summary:
space group	Ia-3d (230)
uncorrected energy	-5.69	eV per atom

***

[5]
A relaxed structure of Te2PbSe. Source: Alexandria, functional PBE.

```
Te2PbSe
1.0
2.099 -3.846 0.000
2.099 3.846 0.000
0.000 0.000 8.407
Te Pb Se
2 1 1
direct
0.000 0.000 0.230
0.000 0.000 0.770
0.500 0.500 0.500
0.500 0.500 0.000
```

Summary:
ΔE_f (raw)	125	meV/atom
space group	Cmmm (65)
uncorrected energy	-3.24	eV per atom

***

[6]
A relaxed structure of Ba2MgZn3Au4. Source: Alexandria, functional PBE.

```
Ba2MgZn3Au4
1.0
4.768 0.000 0.000
0.000 4.768 0.000
0.000 0.000 10.607
Ba Mg Zn Au
2 1 3 4
direct
0.000 0.500 0.237
0.500 0.000 0.763
0.000 0.000 0.500
0.000 0.500 0.883
0.500 0.000 0.117
0.500 0.500 0.500
0.000 0.000 0.000
0.000 0.500 0.631
0.500 0.000 0.369
0.500 0.500 0.000
```

Summary:
space group	P-4m2 (115)
energy relative to the elements	-522	meV/atom
uncorrected energy	-2.76	eV per atom

***

Please write out number 3 again, unchanged.
A relaxed structure of ZnRu2Au. Source: Alexandria, functional PBE.

```
ZnRu2Au
1.0
-1.925 1.925 4.068
1.925 -1.925 4.068
1.925 1.925 -4.068
Zn Ru Au
1 2 1
direct
0.000 0.000 0.000
0.250 0.750 0.500
0.750 0.250 0.500
0.500 0.500 0.000
```

Summary:
space group	I4/mmm (139)
energy relative to the elements	311	meV/atom
uncorrected energy	-5.46	eV per atom

***

- The highest uncorrected energy belongs to which entry?
  Ba2MgZn3Au4